DFT (PBE) results for crystalline Th2MgGeN5 at its relaxed geometry.

a = 7.2651 Å, b = 7.2651 Å, c = 9.8892 Å
α = 90.00°, β = 90.00°, γ = 152.95°
Atoms (fractional coordinates):
Th  0.1196  0.8804  0.5000
Th  0.1351  0.8649  0.1214
Th  0.8649  0.1351  0.6214
Th  0.8804  0.1196  0.0000
Mg  0.2109  0.7891  0.8271
Mg  0.7891  0.2109  0.3271
Ge  0.4459  0.5541  0.2723
Ge  0.5541  0.4459  0.7723
N  0.0475  0.9525  0.8671
N  0.2924  0.7076  0.4877
N  0.3210  0.6790  0.1856
N  0.3595  0.6405  0.8233
N  0.4974  0.5026  0.6007
N  0.5026  0.4974  0.1007
N  0.6405  0.3595  0.3233
N  0.6790  0.3210  0.6856
N  0.7076  0.2924  0.9877
N  0.9525  0.0475  0.3671

Summary:
DOS(E_F) ... 5.9 states/eV/f.u.
Energy relative to the elements, uncorrected ... -0.857 eV per atom
Total magnetic moment ... 0.00 Bohr magnetons per cell
Calculated volume ... 237.39 Å³/cell

***

DFT (PBE) results for crystalline Sc2B2Ir at its relaxed geometry.

a = 6.0269 Å, b = 6.0269 Å, c = 3.5331 Å
α = 90.00°, β = 90.00°, γ = 90.00°
Atoms (fractional coordinates):
Sc  0.1837  0.3163  0.0000
Sc  0.3163  0.8163  0.0000
Sc  0.6837  0.1837  0.0000
Sc  0.8163  0.6837  0.0000
B  0.1031  0.6031  0.5000
B  0.3969  0.1031  0.5000
B  0.6031  0.8969  0.5000
B  0.8969  0.3969  0.5000
Ir  0.0000  0.0000  0.5000
Ir  0.5000  0.5000  0.5000

Summary:
DOS(E_F) ... 1.5 states/eV/f.u.
Total magnetic moment ... 0.00 Bohr magnetons per cell
Calculated volume ... 128.33 Å³/cell
Energy relative to the elements ... -0.79 eV/atom

***

DFT (PBE) results for crystalline NiAsCl2 at its relaxed geometry.

a = 6.5064 Å, b = 6.5064 Å, c = 6.5064 Å
α = 90.00°, β = 90.00°, γ = 90.00°
Atoms (fractional coordinates):
Ni  0.0000  0.0000  0.0000
Ni  0.0000  0.5000  0.5000
Ni  0.5000  0.0000  0.5000
Ni  0.5000  0.5000  0.0000
As  0.0000  0.0000  0.5000
As  0.0000  0.5000  0.0000
As  0.5000  0.0000  0.0000
As  0.5000  0.5000  0.5000
Cl  0.2500  0.2500  0.2500
Cl  0.2500  0.2500  0.7500
Cl  0.2500  0.7500  0.2500
Cl  0.2500  0.7500  0.7500
Cl  0.7500  0.2500  0.2500
Cl  0.7500  0.2500  0.7500
Cl  0.7500  0.7500  0.2500
Cl  0.7500  0.7500  0.7500

Summary:
DOS(E_F) ... 2.2 states/eV/f.u.
Energy relative to the elements, uncorrected ... 0.537 eV per atom
Total magnetic moment ... 0.00 Bohr magnetons per cell
Calculated volume ... 275.43 Å³/cell

***

DFT (PBE) results for crystalline SbMoRh at its relaxed geometry.

a = 3.0556 Å, b = 3.0556 Å, c = 12.9993 Å
α = 90.00°, β = 90.00°, γ = 120.00°
Atoms (fractional coordinates):
Sb  0.0000  0.0000  0.1708
Sb  0.0000  0.0000  0.8292
Mo  0.3333  0.6667  0.0000
Mo  0.3333  0.6667  0.5000
Rh  0.6667  0.3333  0.3438
Rh  0.6667  0.3333  0.6562

Summary:
DOS(E_F) ... 3.9 states/eV/f.u.
Energy relative to the elements, uncorrected ... 0.192 eV per atom
Total magnetic moment ... 0.00 Bohr magnetons per cell
Calculated volume ... 105.10 Å³/cell

***

DFT (PBE) results for crystalline Tb3Nd2Sm8 at its relaxed geometry.

a = 11.0520 Å, b = 11.0520 Å, c = 5.6798 Å
α = 90.00°, β = 90.00°, γ = 139.20°
Atoms (fractional coordinates):
Tb  0.0000  0.0000  0.0000
Tb  0.2866  0.2866  0.5000
Tb  0.7134  0.7134  0.5000
Nd  0.2409  0.7591  0.0000
Nd  0.7591  0.2409  0.0000
Sm  0.1305  0.8695  0.5000
Sm  0.1873  0.3968  0.0000
Sm  0.3326  0.6674  0.5000
Sm  0.3968  0.1873  0.0000
Sm  0.6032  0.8127  0.0000
Sm  0.6674  0.3326  0.5000
Sm  0.8127  0.6032  0.0000
Sm  0.8695  0.1305  0.5000

Summary:
DOS(E_F) ... 21.5 states/eV/f.u.
Total magnetic moment ... 0.00 Bohr magnetons per cell
Calculated volume ... 453.30 Å³/cell
Energy relative to the elements ... 0.22 eV/atom

***

DFT (PBE) results for crystalline SrSe3Cl at its relaxed geometry.

a = 6.0596 Å, b = 6.0596 Å, c = 6.0596 Å
α = 90.00°, β = 90.00°, γ = 90.00°
Atoms (fractional coordinates):
Sr  0.0000  0.0000  0.0000
Se  0.0000  0.0000  0.5000
Se  0.0000  0.5000  0.0000
Se  0.5000  0.0000  0.0000
Cl  0.5000  0.5000  0.5000

Summary:
DOS(E_F) ... 2.8 states/eV/f.u.
Energy relative to the elements, uncorrected ... 0.214 eV per atom
Total magnetic moment ... 5.00 Bohr magnetons per cell
Calculated volume ... 222.50 Å³/cell